[1]
NbAlOF2 (GGA-PBEsol, optimized geometry); total DFT energy (no corrections) = -6.27 eV per atom; crystal system = tetragonal; formation energy from raw total energies = -1.4707 eV per atom; volume = 57.2 Å³/cell
1.0
-3.2644 -1.4677 -0.8244
1.5903 -1.7675 -3.1506
0.8623 -3.1572 2.2064
F O Al Nb
2 1 1 1
Cartesian
0.4311 -1.5786 1.1032 F
0.7951 -0.8837 -1.5753 F
-1.6322 -0.7338 -0.4122 O
0.0000 0.0000 0.0000 Al
-0.4059 -3.1961 -0.8843 Nb

[2]
SnBi4Te7 (GGA-PBEsol, optimized geometry); total DFT energy (no corrections) = -4.07 eV per atom; crystal system = trigonal; formation energy from raw total energies = -0.2338 eV per atom; volume = 398.1 Å³/cell
1.0
4.3924 0.0000 0.0000
-2.1962 3.8039 0.0000
0.0000 0.0000 23.8280
Te Bi Sn
7 4 1
Cartesian
2.1962 1.2680 15.6470 Te
0.0000 0.0000 5.5821 Te
0.0000 0.0000 11.9140 Te
0.0000 2.5360 1.8397 Te
2.1962 1.2680 21.9883 Te
0.0000 2.5360 8.1810 Te
0.0000 0.0000 18.2459 Te
2.1962 1.2680 3.8659 Bi
2.1962 1.2680 9.9050 Bi
0.0000 2.5360 19.9621 Bi
0.0000 2.5360 13.9230 Bi
0.0000 0.0000 0.0000 Sn